VASP calculation (PBE-GGA) on a geometry-optimized Sc3C4 structure.

The structure in POSCAR format:
```
Sc3C4
1.0
6.100 0.000 0.000
-3.050 5.283 0.000
0.000 0.000 2.837
Sc C
3 4
Direct
0.000 0.500 0.000
0.500 0.000 0.000
0.500 0.500 0.000
0.000 0.000 0.250
0.000 0.000 0.750
0.333 0.667 0.500
0.667 0.333 0.500
```

Calculated values
ΔE_f, meV per atom: 271
Magnetization, μB per formula unit: 0.00
Excess energy over the best structure of this formula in the dataset, meV per atom: 677.7
Energy, eV for the cell shown: -54.00
DOS(E_F), states/eV per cell: 3.53

VASP calculation (PBE-GGA) on a geometry-optimized Sc3C4 structure.

The structure in POSCAR format:
```
Sc3C4
1.0
-1.669 1.669 7.848
1.669 -1.669 7.848
1.669 1.669 -7.848
Sc C
3 4
Direct
0.000 0.000 0.000
0.322 0.322 0.000
0.678 0.678 0.000
0.169 0.169 0.000
0.459 0.459 0.000
0.541 0.541 0.000
0.831 0.831 0.000
```

Calculated values
ΔE_f, meV per atom: -58
Magnetization, μB per formula unit: 0.00
Excess energy over the best structure of this formula in the dataset, meV per atom: 348.6
Energy, eV for the cell shown: -56.30
DOS(E_F), states/eV per cell: 2.87

VASP calculation (PBE-GGA) on a geometry-optimized Sc2C structure.

The structure in POSCAR format:
```
Sc2C
1.0
-2.802 2.802 2.936
2.802 -2.802 2.936
2.802 2.802 -2.936
Sc C
4 2
Direct
0.207 0.707 0.915
0.293 0.207 0.500
0.707 0.793 0.500
0.793 0.293 0.085
0.250 0.250 0.000
0.750 0.750 0.000
```

Calculated values
ΔE_f, meV per atom: 1
Magnetization, μB per formula unit: 0.00
Energy, eV for the cell shown: -43.77
DOS(E_F), states/eV per cell: 4.32

VASP calculation (PBE-GGA) on a geometry-optimized Sc15C19 structure.

The structure in POSCAR format:
```
Sc15C19
1.0
7.550 0.000 0.000
0.000 7.550 0.000
0.000 0.000 14.637
Sc C
30 38
Direct
0.000 0.000 0.000
0.000 0.000 0.334
0.000 0.000 0.666
0.093 0.297 0.500
0.099 0.716 0.147
0.099 0.716 0.853
0.203 0.407 0.000
0.216 0.599 0.353
0.216 0.599 0.647
0.284 0.099 0.147
0.284 0.099 0.853
0.297 0.907 0.500
0.401 0.216 0.353
0.401 0.216 0.647
0.407 0.797 0.000
0.500 0.500 0.166
0.500 0.500 0.500
0.500 0.500 0.834
0.593 0.203 0.000
0.599 0.784 0.353
0.599 0.784 0.647
0.703 0.093 0.500
0.716 0.901 0.147
0.716 0.901 0.853
0.784 0.401 0.353
0.784 0.401 0.647
0.797 0.593 0.000
0.901 0.284 0.147
0.901 0.284 0.853
0.907 0.703 0.500
0.000 0.000 0.161
0.000 0.000 0.500
0.000 0.000 0.839
0.094 0.303 0.333
0.094 0.303 0.667
0.103 0.698 0.000
0.151 0.349 0.250
0.151 0.349 0.750
0.197 0.406 0.167
0.197 0.406 0.833
0.198 0.603 0.500
0.302 0.103 0.000
0.303 0.906 0.333
0.303 0.906 0.667
0.349 0.849 0.250
0.349 0.849 0.750
0.397 0.198 0.500
0.406 0.803 0.167
0.406 0.803 0.833
0.500 0.500 0.000
0.500 0.500 0.339
0.500 0.500 0.661
0.594 0.197 0.167
0.594 0.197 0.833
0.603 0.802 0.500
0.651 0.151 0.250
0.651 0.151 0.750
0.697 0.094 0.333
0.697 0.094 0.667
0.698 0.897 0.000
0.802 0.397 0.500
0.803 0.594 0.167
0.803 0.594 0.833
0.849 0.651 0.250
0.849 0.651 0.750
0.897 0.302 0.000
0.906 0.697 0.333
0.906 0.697 0.667
```

Calculated values
ΔE_f, meV per atom: -416
Magnetization, μB per formula unit: 0.00
Energy, eV for the cell shown: -568.73
DOS(E_F), states/eV per cell: 14.91

VASP calculation (PBE-GGA) on a geometry-optimized ScC structure.

The structure in POSCAR format:
```
ScC
1.0
4.621 0.000 0.000
0.000 4.621 0.000
0.000 0.000 4.554
Sc C
3 3
Direct
0.000 0.000 0.000
0.000 0.500 0.500
0.500 0.000 0.500
0.000 0.000 0.500
0.000 0.500 0.000
0.500 0.000 0.000
```

Calculated values
ΔE_f, meV per atom: 483
Magnetization, μB per formula unit: 0.00
Excess energy over the best structure of this formula in the dataset, meV per atom: 943.8
Energy, eV for the cell shown: -43.77
DOS(E_F), states/eV per cell: 3.35

VASP calculation (PBE-GGA) on a geometry-optimized Sc2C structure.

The structure in POSCAR format:
```
Sc2C
1.0
5.679 0.000 0.000
-2.840 4.918 0.000
0.000 0.000 5.440
Sc C
6 3
Direct
0.000 0.333 0.259
0.000 0.667 0.741
0.333 0.000 0.259
0.333 0.333 0.741
0.667 0.000 0.741
0.667 0.667 0.259
0.000 0.000 0.000
0.333 0.667 0.500
0.667 0.333 0.500
```

Calculated values
ΔE_f, meV per atom: -368
Magnetization, μB per formula unit: 0.00
Energy, eV for the cell shown: -68.97
DOS(E_F), states/eV per cell: 8.52

VASP calculation (PBE-GGA) on a geometry-optimized Sc2C structure.

The structure in POSCAR format:
```
Sc2C
1.0
0.000 2.825 2.825
2.825 0.000 2.825
2.825 2.825 0.000
Sc C
2 1
Direct
0.250 0.250 0.250
0.750 0.750 0.750
0.000 0.000 0.000
```

Calculated values
ΔE_f, meV per atom: -199
Magnetization, μB per formula unit: 0.00
Energy, eV for the cell shown: -22.48
DOS(E_F), states/eV per cell: 2.71

VASP calculation (PBE-GGA) on a geometry-optimized Sc2C structure.

The structure in POSCAR format:
```
Sc2C
1.0
1.669 0.963 5.541
-1.669 0.963 5.541
0.000 -1.927 5.541
Sc C
2 1
Direct
0.241 0.241 0.241
0.759 0.759 0.759
0.500 0.500 0.500
```

Calculated values
ΔE_f, meV per atom: -460
Magnetization, μB per formula unit: 0.23
Energy, eV for the cell shown: -23.27
DOS(E_F), states/eV per cell: 2.18

VASP calculation (PBE-GGA) on a geometry-optimized ScC structure.

The structure in POSCAR format:
```
ScC
1.0
-1.377 1.589 6.047
1.377 -1.589 6.047
1.377 1.589 -6.047
Sc C
2 2
Direct
0.383 0.133 0.250
0.617 0.867 0.750
0.032 0.282 0.750
0.968 0.718 0.250
```

Calculated values
ΔE_f, meV per atom: -161
Magnetization, μB per formula unit: 0.00
Excess energy over the best structure of this formula in the dataset, meV per atom: 299.5
Energy, eV for the cell shown: -31.75
DOS(E_F), states/eV per cell: 1.64

VASP calculation (PBE-GGA) on a geometry-optimized ScC structure.

The structure in POSCAR format:
```
ScC
1.0
4.230 -1.609 0.000
4.230 1.609 0.000
-2.823 0.000 5.529
Sc C
3 3
Direct
0.000 0.000 0.000
0.649 0.649 0.697
0.836 0.836 0.314
0.168 0.168 0.429
0.268 0.268 0.008
0.349 0.349 0.604
```

Calculated values
ΔE_f, meV per atom: -263
Magnetization, μB per formula unit: 0.00
Excess energy over the best structure of this formula in the dataset, meV per atom: 197.1
Energy, eV for the cell shown: -48.25
DOS(E_F), states/eV per cell: 2.68

VASP calculation (PBE-GGA) on a geometry-optimized Sc3C2 structure.

The structure in POSCAR format:
```
Sc3C2
1.0
3.370 0.000 0.000
-1.685 2.918 0.000
0.000 0.000 8.472
Sc C
3 2
Direct
0.000 0.000 0.000
0.333 0.667 0.294
0.667 0.333 0.706
0.333 0.667 0.828
0.667 0.333 0.172
```

Calculated values
ΔE_f, meV per atom: -454
Magnetization, μB per formula unit: 0.00
Excess energy over the best structure of this formula in the dataset, meV per atom: 0.0
Energy, eV for the cell shown: -39.71
DOS(E_F), states/eV per cell: 2.16

VASP calculation (PBE-GGA) on a geometry-optimized Sc2C structure.

The structure in POSCAR format:
```
Sc2C
1.0
1.768 -8.202 0.000
1.768 8.202 0.000
0.000 0.000 3.545
Sc C
4 2
Direct
0.000 0.000 0.000
0.150 0.850 0.500
0.500 0.500 0.500
0.850 0.150 0.500
0.400 0.600 0.000
0.600 0.400 0.000
```

Calculated values
ΔE_f, meV per atom: 243
Magnetization, μB per formula unit: 0.00
Energy, eV for the cell shown: -42.32
DOS(E_F), states/eV per cell: 3.82

VASP calculation (PBE-GGA) on a geometry-optimized ScC4 structure.

The structure in POSCAR format:
```
ScC4
1.0
-2.724 2.724 1.814
2.724 -2.724 1.814
2.724 2.724 -1.814
Sc C
1 4
Direct
0.000 0.000 0.000
0.097 0.417 0.514
0.417 0.903 0.320
0.583 0.097 0.680
0.903 0.583 0.486
```

Calculated values
ΔE_f, meV per atom: 1659
Magnetization, μB per formula unit: 0.00
Excess energy over the best structure of this formula in the dataset, meV per atom: 0.0
Energy, eV for the cell shown: -34.93
DOS(E_F), states/eV per cell: 2.73

VASP calculation (PBE-GGA) on a geometry-optimized ScC structure.

The structure in POSCAR format:
```
ScC
1.0
1.755 -2.405 0.000
1.755 2.405 0.000
0.000 0.000 3.007
Sc C
1 1
Direct
0.000 0.000 0.000
0.500 0.500 0.500
```

Calculated values
ΔE_f, meV per atom: 275
Magnetization, μB per formula unit: 0.00
Excess energy over the best structure of this formula in the dataset, meV per atom: 735.6
Energy, eV for the cell shown: -15.00
DOS(E_F), states/eV per cell: 0.97

VASP calculation (PBE-GGA) on a geometry-optimized ScC structure.

The structure in POSCAR format:
```
ScC
1.0
0.000 2.897 2.897
2.897 0.000 2.897
2.897 2.897 0.000
Sc C
2 2
Direct
0.125 0.125 0.125
0.875 0.875 0.875
0.375 0.375 0.375
0.625 0.625 0.625
```

Calculated values
ΔE_f, meV per atom: 1674
Magnetization, μB per formula unit: 0.00
Excess energy over the best structure of this formula in the dataset, meV per atom: 2134.5
Energy, eV for the cell shown: -24.41
DOS(E_F), states/eV per cell: 3.69

VASP calculation (PBE-GGA) on a geometry-optimized Sc2C structure.

The structure in POSCAR format:
```
Sc2C
1.0
3.691 0.000 0.000
0.000 3.691 0.000
0.000 0.000 6.521
Sc C
4 2
Direct
0.250 0.250 0.123
0.250 0.750 0.500
0.750 0.250 0.500
0.750 0.750 0.877
0.250 0.250 0.769
0.750 0.750 0.231
```

Calculated values
ΔE_f, meV per atom: 32
Magnetization, μB per formula unit: 0.00
Energy, eV for the cell shown: -43.58
DOS(E_F), states/eV per cell: 5.40

VASP calculation (PBE-GGA) on a geometry-optimized Sc2C structure.

The structure in POSCAR format:
```
Sc2C
1.0
3.456 0.000 0.000
-1.728 2.993 0.000
0.000 0.000 18.033
Sc C
6 3
Direct
0.000 0.000 0.107
0.000 0.000 0.893
0.333 0.667 0.566
0.333 0.667 0.739
0.667 0.333 0.261
0.667 0.333 0.434
0.000 0.000 0.500
0.333 0.667 0.851
0.667 0.333 0.149
```

Calculated values
ΔE_f, meV per atom: -9
Magnetization, μB per formula unit: 0.00
Energy, eV for the cell shown: -65.74
DOS(E_F), states/eV per cell: 7.39

VASP calculation (PBE-GGA) on a geometry-optimized Sc2C structure.

The structure in POSCAR format:
```
Sc2C
1.0
1.648 0.951 5.672
-1.648 0.951 5.672
0.000 -1.903 5.672
Sc C
2 1
Direct
0.000 0.000 0.000
0.157 0.157 0.157
0.747 0.747 0.747
```

Calculated values
ΔE_f, meV per atom: -101
Magnetization, μB per formula unit: 0.00
Energy, eV for the cell shown: -22.19
DOS(E_F), states/eV per cell: 1.74

VASP calculation (PBE-GGA) on a geometry-optimized Sc2C structure.

The structure in POSCAR format:
```
Sc2C
1.0
6.465 0.000 0.000
-3.233 5.599 0.000
0.000 0.000 3.631
Sc C
6 3
Direct
0.000 0.272 0.000
0.000 0.602 0.500
0.272 0.000 0.000
0.398 0.398 0.500
0.602 0.000 0.500
0.728 0.728 0.000
0.000 0.000 0.500
0.333 0.667 0.000
0.667 0.333 0.000
```

Calculated values
ΔE_f, meV per atom: -3
Magnetization, μB per formula unit: 0.50
Energy, eV for the cell shown: -65.69
DOS(E_F), states/eV per cell: 8.21

VASP calculation (PBE-GGA) on a geometry-optimized Sc2C structure.

The structure in POSCAR format:
```
Sc2C
1.0
3.318 0.000 0.000
0.000 3.318 0.000
0.000 0.000 4.570
Sc C
2 1
Direct
0.000 0.000 0.000
0.500 0.500 0.500
0.000 0.000 0.500
```

Calculated values
ΔE_f, meV per atom: -346
Magnetization, μB per formula unit: 0.00
Energy, eV for the cell shown: -22.93
DOS(E_F), states/eV per cell: 1.19